(1)
Compound: Rb3YTl2O6
Source: Alexandria
Functional: GGA-PBE
Structure: relaxed

```
data_Rb3YTl2O6
_space_group_name_H-M_alt 'P 1'
_space_group_IT_number 1
_cell_length_a 6.1089
_cell_length_b 6.1089
_cell_length_c 6.8508
_cell_angle_alpha 98.51
_cell_angle_beta 98.51
_cell_angle_gamma 120.03
loop_
_space_group_symop_operation_xyz
'x,y,z'
loop_
_atom_site_label
_atom_site_fract_x
_atom_site_fract_y
_atom_site_fract_z
Y1 0.0000 0.0000 0.0000
O1 0.6105 0.9384 0.8155
O2 0.7339 0.7339 0.1854
O3 0.3895 0.0616 0.1845
O4 0.2661 0.2661 0.8146
O5 0.0616 0.3895 0.1845
O6 0.9384 0.6105 0.8155
Tl1 0.3337 0.6663 0.0000
Tl2 0.6663 0.3337 0.0000
Rb1 0.5000 0.5000 0.5000
Rb2 0.1698 0.8302 0.5000
Rb3 0.8302 0.1698 0.5000
```

Computed properties:
Formation energy (no corrections): -1.519 eV per atom
DFT total energy: -62.078 eV/cell



(2)
Compound: Rb2YTlO4
Source: Alexandria
Functional: GGA-PBE
Structure: relaxed

```
data_Rb2YTlO4
_space_group_name_H-M_alt 'P 1'
_space_group_IT_number 1
_cell_length_a 3.5205
_cell_length_b 6.1110
_cell_length_c 6.8871
_cell_angle_alpha 107.83
_cell_angle_beta 90.00
_cell_angle_gamma 90.00
loop_
_space_group_symop_operation_xyz
'x,y,z'
loop_
_atom_site_label
_atom_site_fract_x
_atom_site_fract_y
_atom_site_fract_z
O1 0.5000 0.7694 0.8171
O2 0.0000 0.2848 0.8164
O3 0.0000 0.7152 0.1836
O4 0.5000 0.2306 0.1829
Tl1 0.0000 0.0000 0.0000
Rb1 0.5000 0.0000 0.5000
Rb2 0.0000 0.5000 0.5000
Y1 0.5000 0.5000 0.0000
```

Computed properties:
Formation energy (no corrections): -1.805 eV per atom
DFT total energy: -45.036 eV/cell



(3)
Compound: RbYTlO3
Source: Alexandria
Functional: GGA-PBE
Structure: relaxed

```
data_RbYTlO3
_space_group_name_H-M_alt 'P 1'
_space_group_IT_number 1
_cell_length_a 3.5260
_cell_length_b 7.0831
_cell_length_c 11.1788
_cell_angle_alpha 109.11
_cell_angle_beta 90.00
_cell_angle_gamma 90.00
loop_
_space_group_symop_operation_xyz
'x,y,z'
loop_
_atom_site_label
_atom_site_fract_x
_atom_site_fract_y
_atom_site_fract_z
Y1 0.7500 0.3490 0.8739
Y2 0.2500 0.6510 0.1261
O1 0.2500 0.1221 0.7987
O2 0.2500 0.5717 0.9166
O3 0.7500 0.8779 0.2013
O4 0.7500 0.4283 0.0834
O5 0.2500 0.6411 0.3403
O6 0.7500 0.3589 0.6597
Tl1 0.2500 0.1568 0.6021
Tl2 0.7500 0.8432 0.3979
Rb1 0.2500 0.2209 0.2191
Rb2 0.7500 0.7791 0.7809
```

Computed properties:
Formation energy (no corrections): -1.939 eV per atom
DFT total energy: -72.619 eV/cell
DOS at the Fermi energy: 0.1284 states/eV per atom



(4)
Compound: RbTlZnO3
Source: Alexandria
Functional: GGA-PBE
Structure: relaxed

```
data_RbTlZnO3
_space_group_name_H-M_alt 'P 1'
_space_group_IT_number 1
_cell_length_a 3.4202
_cell_length_b 6.6829
_cell_length_c 9.9172
_cell_angle_alpha 106.83
_cell_angle_beta 90.00
_cell_angle_gamma 90.00
loop_
_space_group_symop_operation_xyz
'x,y,z'
loop_
_atom_site_label
_atom_site_fract_x
_atom_site_fract_y
_atom_site_fract_z
Rb1 0.7500 0.6992 0.6951
Rb2 0.2500 0.3008 0.3049
O1 0.2500 0.5426 0.8799
O2 0.2500 0.0838 0.7981
O3 0.7500 0.9162 0.2019
O4 0.7500 0.4574 0.1201
O5 0.2500 0.7976 0.4613
O6 0.7500 0.2024 0.5387
Tl1 0.7500 0.3053 0.8873
Tl2 0.2500 0.6947 0.1127
Zn1 0.2500 0.1128 0.6023
Zn2 0.7500 0.8872 0.3977
```

Computed properties:
Formation energy (no corrections): -1.083 eV per atom
DFT total energy: -51.956 eV/cell



(5)
Compound: Rb2TlZnO4
Source: Alexandria
Functional: GGA-PBE
Structure: relaxed

```
data_Rb2TlZnO4
_space_group_name_H-M_alt 'P 1'
_space_group_IT_number 1
_cell_length_a 6.2308
_cell_length_b 5.8370
_cell_length_c 5.8370
_cell_angle_alpha 73.45
_cell_angle_beta 57.74
_cell_angle_gamma 57.74
loop_
_space_group_symop_operation_xyz
'x,y,z'
loop_
_atom_site_label
_atom_site_fract_x
_atom_site_fract_y
_atom_site_fract_z
O1 0.1313 0.2831 0.0000
O2 0.5855 0.0000 0.2831
O3 0.4145 0.7169 0.0000
O4 0.8687 0.0000 0.7169
Rb1 0.5000 0.5000 0.5000
Rb2 0.0000 0.5000 0.5000
Tl1 0.0000 0.0000 0.0000
Zn1 0.5000 0.0000 0.0000
```

Computed properties:
Formation energy (no corrections): -0.902 eV per atom
DFT total energy: -32.624 eV/cell
DOS at the Fermi energy: 0.6770 states/eV per atom



(6)
Compound: Rb2Zr3TlO8
Source: Alexandria
Functional: GGA-PBE
Structure: relaxed

```
data_Rb2Zr3TlO8
_space_group_name_H-M_alt 'P 1'
_space_group_IT_number 1
_cell_length_a 6.6352
_cell_length_b 6.6352
_cell_length_c 7.8624
_cell_angle_alpha 65.04
_cell_angle_beta 65.04
_cell_angle_gamma 60.00
loop_
_space_group_symop_operation_xyz
'x,y,z'
loop_
_atom_site_label
_atom_site_fract_x
_atom_site_fract_y
_atom_site_fract_z
O1 0.2339 0.6782 0.8540
O2 0.2339 0.2339 0.8540
O3 0.2765 0.2765 0.1704
O4 0.7577 0.3099 0.1747
O5 0.3099 0.7577 0.1747
O6 0.7577 0.7577 0.1747
O7 0.6782 0.2339 0.8540
O8 0.7135 0.7135 0.8594
Rb1 0.1317 0.1317 0.6048
Rb2 0.4972 0.4972 0.5083
Zr1 0.0057 0.4963 0.0017
Zr2 0.4963 0.4963 0.0017
Zr3 0.4963 0.0057 0.0017
Tl1 0.9039 0.9039 0.2882
```

Computed properties:
Formation energy (no corrections): -2.486 eV per atom
DFT total energy: -104.420 eV/cell
DOS at the Fermi energy: 0.1173 states/eV per atom